Computed, not measured: an optimized crystal structure of SrCa2ZnRh at the GGA-PBE level of DFT.

Geometry as POSCAR:
```
SrCa2ZnRh
1.0
5.442 0.000 0.000
0.000 5.442 0.000
0.000 0.000 5.161
Sr Ca Zn Rh
1 2 1 1
Direct
0.000 0.000 0.000
0.000 0.500 0.500
0.500 0.000 0.500
0.500 0.500 0.000
0.500 0.500 0.500
```

Offset from the most stable computed form   0 meV/atom
Formation energy from the elements   -0.170 eV/atom
Crystal system   tetragonal
Space group   P4/mmm (123)
Energy   -3.03 eV/atom